Entry 1:
The following is a DFT calculation (PBE) of a relaxed Tl2OsRu crystal.

The space group is P2/m (No. 10) and the conventional cell measures 4.736, 3.113 and 5.419 Å, with angles of 90.00, 112.64 and 90.00 degrees. The asymmetric unit holds Tl at (0.000, 0.000, 0.000), Tl at (0.000, 0.500, 0.500), Os at (0.500, 0.000, 0.500) and Ru at (0.500, 0.500, 0.000).

As for the energy of formation: 0.930 eV/atom. The total energy comes out at -0.19770 Ha/atom. The value obtained for the energy above the most stable polymorph in this dataset is 435 meV/atom.

=====

Entry 2:
The following is a DFT calculation (PBE) of a relaxed Ti4Te5H crystal.

The space group is C2/m (No. 12) and the conventional cell measures 17.744, 3.529 and 7.810 Å, with angles of 90.00, 102.66 and 90.00 degrees. The asymmetric unit holds Ti at (0.000, 0.000, 0.228), Ti at (0.106, 0.500, 0.053), Te at (0.000, 0.500, 0.500), Te at (0.158, 0.000, 0.323), Te at (0.159, 0.000, 0.835) and H at (0.000, 0.500, 0.000).

The total energy comes out at -0.20395 Ha/atom.

=====

Entry 3:
The following is a DFT calculation (PBE) of a relaxed Pm2Mg2Ag15 crystal.

The space group is R-3m (No. 166, hexagonal axes) and the conventional cell measures 9.6199, 9.6199 and 14.4124 Å, with angles of 90.00, 90.00 and 120.00 degrees. The asymmetric unit holds Pm at (0.0000, 0.0000, 0.1471), Mg at (0.0000, 0.0000, 0.3945), Ag at (0.0000, 0.3014, 0.5000), Ag at (0.0000, 0.5000, 0.0000) and Ag at (0.0043, 0.5021, 0.6504).

As for the energy of formation: -0.109 eV/atom. The total energy comes out at -0.11129 Ha/atom.

=====

Entry 4:
The following is a DFT calculation (PBE) of a relaxed Er5Nb crystal.

The space group is Cmmm (No. 65) and the conventional cell measures 4.797, 14.346 and 4.831 Å, with angles of 90.00, 90.00 and 90.00 degrees. The asymmetric unit holds Er at (0.000, 0.000, 0.000), Er at (0.000, 0.155, 0.500), Er at (0.000, 0.342, 0.000) and Nb at (0.000, 0.500, 0.500).

As for the energy of formation: 0.158 eV/atom. The total energy comes out at -0.19561 Ha/atom.